LaTlCl2 (PBE, optimized geometry); uncorrected formation energy = -116.82 kJ per mole of atoms; space-group type = I-42d (122); VASP energy = -3.957 eV per atom
1.0
-0.1467 4.0170 3.1186
-3.6047 -2.2829 2.7710
4.9444 -3.1820 8.4809
Tl Cl La
2 4 2
Cartesian
0.0000 0.0000 0.0000
1.4610 0.8510 7.2722
0.7008 1.2406 4.2688
-1.0421 -1.5310 4.3888
2.1317 -1.8437 8.6998
0.5956 -0.7616 11.3836
-1.8757 0.8670 2.9448
-0.2680 -2.2989 7.0983


LaZnGa2Ru2 (PBE, optimized geometry); E_form = -0.13 eV per atom; space-group type = P4/mmm (123); VASP energy = -5.260 eV per atom
1.0
-2.8926 0.4021 3.5761
-3.5634 -0.9606 -2.7744
0.6105 -5.4652 1.1082
La Zn Ga Ru
1 1 2 2
Cartesian
0.3052 -2.7326 0.5541
0.0000 0.0000 0.0000
-2.7670 -4.4064 1.2378
-3.0786 -1.6174 0.6722
-1.4463 0.2010 1.7881
-1.7817 -0.4803 -1.3872


Hf2AlFeSn (PBE, optimized geometry); E_form = 0.01 eV per atom; space-group type = P4/mmm (123); VASP energy = -7.215 eV per atom
1.0
4.7560 0.0000 0.0000
0.0000 4.5500 0.0000
0.0000 0.0000 4.7560
Al Hf Sn Fe
1 2 1 1
Cartesian
0.0000 2.2750 0.0000
0.0000 0.0000 2.3780
2.3780 0.0000 0.0000
2.3780 2.2750 2.3780
0.0000 0.0000 0.0000


Ba2MgSiRu (PBE, optimized geometry); uncorrected formation energy = 84.51 kJ per mole of atoms; space-group type = P4/mmm (123); VASP energy = -3.152 eV per atom
1.0
-6.2445 -0.1200 -0.3273
-0.0786 -3.7204 2.8630
-0.3326 3.8133 4.9461
Mg Ru Si Ba
1 1 1 2
Cartesian
0.0000 0.0000 0.0000
-0.0393 -1.8602 1.4315
-3.3278 -0.0136 3.7409
-0.1663 1.9066 2.4731
-3.1223 -0.0600 -0.1637


Rb2BaZrB (PBE, optimized geometry); E_form = 1.74 eV per atom; space-group type = P4/mmm (123); VASP energy = -2.072 eV per atom
1.0
-0.4996 6.2781 -3.7961
-3.0200 1.7078 3.2219
5.6414 2.7613 3.8242
Rb B Ba Zr
2 1 1 1
Cartesian
2.8207 1.3806 1.9121
-0.2498 3.1391 -1.8980
-1.5100 0.8539 1.6110
0.0000 0.0000 0.0000
1.0609 5.3736 1.6250